Record 1
Sm2DyTm PBE-GGA optimized geometry; space-group type = No. 59; calculated volume = 32.693 A^3/atom; energy relative to the elements = 17 meV/atom; M_tot = 0.0 μB per formula unit; raw total energy = -4.61 eV per atom
1.0
5.6965 0.0000 0.0000
0.0000 7.2966 0.0000
0.0000 0.0000 6.2925
Sm Dy Tm
4 2 2
direct
0.2500 0.0007 0.1683
0.2500 0.4993 0.1683
0.7500 0.5007 0.8317
0.7500 0.9993 0.8317
0.2500 0.2500 0.6642
0.7500 0.7500 0.3358
0.2500 0.7500 0.6651
0.7500 0.2500 0.3349


Record 2
Rb2HgBr7 PBE-GGA optimized geometry; space-group type = No. 139; calculated volume = 39.235 A^3/atom; M_tot = 0.0 μB per formula unit; raw total energy = -2.16 eV per atom; raw formation energy = -766 meV/atom
1.0
-4.1652 4.1652 5.6538
4.1652 -4.1652 5.6538
4.1652 4.1652 -5.6538
Rb Hg Br
2 1 7
direct
0.2500 0.7500 0.5000
0.7500 0.2500 0.5000
0.0000 0.0000 0.0000
0.2258 0.2258 0.4515
0.2258 0.7742 0.0000
0.2743 0.2743 0.0000
0.5000 0.5000 0.0000
0.7257 0.7257 0.0000
0.7742 0.2258 0.0000
0.7742 0.7742 0.5485


Record 3
Ac2TmAl PBE-GGA optimized geometry; space-group type = No. 123; calculated volume = 33.269 A^3/atom; energy relative to the elements = -20 meV/atom; M_tot = 0.0 μB per formula unit; raw total energy = -4.13 eV per atom
1.0
5.1636 0.0000 0.0000
0.0000 5.1636 0.0000
0.0000 0.0000 4.9912
Ac Tm Al
2 1 1
direct
0.0000 0.5000 0.0000
0.5000 0.0000 0.0000
0.0000 0.0000 0.5000
0.5000 0.5000 0.5000


Record 4
Li2MnFe2 PBE-GGA optimized geometry; space-group type = No. 139; calculated volume = 13.050 A^3/atom; energy relative to the elements = 583 meV/atom; M_tot = 6.9 μB per formula unit; raw total energy = -5.40 eV per atom
1.0
3.2558 0.0000 0.0000
0.0000 3.2558 0.0000
0.0000 0.0000 12.3109
Li Mn Fe
4 2 4
direct
0.0000 0.5000 0.2500
0.0000 0.5000 0.7500
0.5000 0.0000 0.2500
0.5000 0.0000 0.7500
0.0000 0.0000 0.0000
0.5000 0.5000 0.5000
0.0000 0.0000 0.4134
0.0000 0.0000 0.5866
0.5000 0.5000 0.0866
0.5000 0.5000 0.9134


Record 5
YPa2Tc2 PBE-GGA optimized geometry; space-group type = No. 11; calculated volume = 21.824 A^3/atom; energy relative to the elements = -144 meV/atom; M_tot = 0.0 μB per formula unit; raw total energy = -9.38 eV per atom
1.0
3.4929 0.0000 0.0000
0.0000 5.3163 0.0000
-1.7451 0.0000 11.7530
Y Pa Tc
2 4 4
direct
0.1434 0.2500 0.2843
0.8566 0.7500 0.7157
0.0497 0.7500 0.0997
0.2338 0.7500 0.4706
0.7662 0.2500 0.5294
0.9503 0.2500 0.9003
0.3569 0.2500 0.7143
0.4631 0.7500 0.9268
0.5369 0.2500 0.0732
0.6431 0.7500 0.2857


Record 6
B2C PBE-GGA optimized geometry; space-group type = No. 8; calculated volume = 7.918 A^3/atom; energy relative to the elements = 335 meV/atom; M_tot = 0.0 μB per formula unit; raw total energy = -7.19 eV per atom
1.0
4.1424 -1.3383 0.0000
4.1424 1.3383 0.0000
-3.3963 0.0000 8.5694
B C
8 4
direct
0.0000 0.0000 0.0000
0.0012 0.0012 0.4808
0.3400 0.3400 0.3387
0.3876 0.3876 0.8748
0.4336 0.4336 0.7002
0.5924 0.5924 0.9302
0.7659 0.7659 0.4391
0.7865 0.7865 0.9309
0.4325 0.4325 0.2203
0.5591 0.5591 0.4117
0.9241 0.9241 0.6149
0.9461 0.9461 0.1432